No. 1
Tl4RuPb2 | GGA-PBE | optimized geometry

As for the space group: I4/mmm. The raw total energy is -23.62 eV for the cell shown. The total magnetization is 0.000 μB/cell.

abc: 8.7353 8.7353 8.7353
angles: 144.50 144.50 51.08
Last column: nearest neighbours and their distance in Å.
Fractional coordinates of all 7 atoms:
Tl: 0.0000 0.5000 0.5000  2 Ru 2.66
Tl: 0.1721 0.1721 0.0000  1 Ru 2.71, 1 Pb 3.03
Tl: 0.5000 0.0000 0.5000  2 Ru 2.66
Tl: 0.8279 0.8279 0.0000  1 Ru 2.71, 1 Pb 3.03
Ru: 0.0000 0.0000 0.0000  6 Tl 2.66-2.71
Pb: 0.3642 0.3642 0.0000  1 Tl 3.03
Pb: 0.6358 0.6358 0.0000  1 Tl 3.03

---

No. 2
Ac3HgIr | GGA-PBE | optimized geometry

Its offset from the most stable computed form is 186.5 meV per atom. As for the space group: Pm-3m. The raw total energy is -23.26 eV for the cell shown. The total magnetization is 0.000 μB/cell.

abc: 5.8263 5.8263 5.8263
angles: 90.00 90.00 90.00
Last column: nearest neighbours and their distance in Å.
Fractional coordinates of all 5 atoms:
Ac: 0.0000 0.0000 0.5000  2 Ir 2.91
Ac: 0.0000 0.5000 0.0000  2 Ir 2.91
Ac: 0.5000 0.0000 0.0000  2 Ir 2.91
Hg: 0.5000 0.5000 0.5000  12 Ac 4.12
Ir: 0.0000 0.0000 0.0000  6 Ac 2.91